DFT (GGA-PBE) results for a relaxed structure of Tb6PrDy12.

abc: 11.9174 11.9174 15.1314
angles: 90.00 90.00 120.00
Last column: nearest neighbours and their distance in Å.
Space group R-3 (No. 148, hexagonal axes)
Inequivalent atoms, fractional coordinates:
Tb  0.0084  0.5869  0.1790  6 Dy 3.27-3.61, 1 Pr 3.50, 2 Tb 3.52
Pr  0.0000  0.0000  0.5000  6 Tb 3.50, 6 Dy 3.56
Dy  0.0176  0.1812  0.6918  4 Dy 3.40-3.57, 4 Tb 3.51-3.68, 1 Pr 3.56
Dy  0.0411  0.1894  0.9160  3 Tb 3.27-3.44, 6 Dy 3.27-3.56

Properties
Calculated total energy ... -84.851 eV/f.u.
Formation enthalpy at 0 K ... 0.1545 eV per atom
Magnetization ... 0.0 μB per cell



DFT (GGA-PBE) results for a relaxed structure of Rb2Zn2Sn.

abc: 3.7136 3.7136 24.4821
angles: 90.00 90.00 90.00
Last column: nearest neighbours and their distance in Å.
Space group I4/mmm (No. 139)
Inequivalent atoms, fractional coordinates:
Rb  0.0000  0.0000  0.1146  4 Rb 3.71, 4 Zn 3.80, 4 Sn 3.84
Zn  0.0000  0.5000  0.2500  4 Zn 2.63
Sn  0.0000  0.0000  0.5000  4 Sn 3.71, 8 Rb 3.84

Properties
Calculated total energy ... -7.846 eV/f.u.
Formation enthalpy at 0 K ... 0.1279 eV per atom
Magnetization ... 0.0 μB per cell



DFT (GGA-PBE) results for a relaxed structure of Sm2Ge2Pd5.

abc: 4.2744 4.2744 9.1540
angles: 90.00 90.00 90.00
Last column: nearest neighbours and their distance in Å.
Space group P4/mmm (No. 123)
Inequivalent atoms, fractional coordinates:
Sm  0.0000  0.0000  0.0000  8 Ge 3.27, 8 Pd 3.30
Sm  0.0000  0.0000  0.5000  12 Pd 2.97-3.02
Ge  0.5000  0.5000  0.1354  1 Ge 2.48, 4 Pd 2.49
Pd  0.0000  0.5000  0.2749  2 Ge 2.49
Pd  0.5000  0.5000  0.5000  8 Pd 2.97, 4 Sm 3.02

Properties
Calculated total energy ... -52.072 eV/f.u.
Formation enthalpy at 0 K ... -0.8261 eV per atom
Magnetization ... 0.0 μB per cell



DFT (GGA-PBE) results for a relaxed structure of SrBi3B.

abc: 6.1067 6.1067 6.1067
angles: 90.00 90.00 90.00
Last column: nearest neighbours and their distance in Å.
Space group Pm-3m (No. 221)
Inequivalent atoms, fractional coordinates:
Sr  0.0000  0.0000  0.0000  6 Bi 3.05
Bi  0.0000  0.0000  0.5000  2 Sr 3.05
B  0.5000  0.5000  0.5000  12 Bi 4.32

Properties
Calculated total energy ... -11.818 eV/f.u.
Formation enthalpy at 0 K ... 1.6368 eV per atom
Magnetization ... 0.0 μB per cell



DFT (GGA-PBE) results for a relaxed structure of Ce4GaHg.

abc: 5.6997 6.6510 8.0386
angles: 90.00 97.39 90.00
Last column: nearest neighbours and their distance in Å.
Space group P2_1/m (No. 11)
Inequivalent atoms, fractional coordinates:
Ce  0.0219  0.2500  0.0069  1 Ce 2.74
Ce  0.1566  0.5102  0.6531  2 Ce 2.85-3.19
Ce  0.2993  0.7500  0.2769  1 Ce 2.74
Ga  0.5000  0.0000  0.0000  8 Ce 3.11-3.40, 2 Ga 3.33
Hg  0.3581  0.2500  0.3565  10 Ce 3.19-3.39, 2 Ga 3.50

Properties
Calculated total energy ... -28.270 eV/f.u.
Formation enthalpy at 0 K ... -0.2009 eV per atom
Magnetization ... 2.8 μB per cell



DFT (GGA-PBE) results for a relaxed structure of RbMgAs.

abc: 4.5200 4.5200 5.6253
angles: 90.00 90.00 120.00
Last column: nearest neighbours and their distance in Å.
Space group P-6m2 (No. 187)
Inequivalent atoms, fractional coordinates:
Rb  0.0000  0.0000  0.0000  6 Mg 3.84, 6 As 3.84
Mg  0.6667  0.3333  0.5000  3 As 2.61
As  0.3333  0.6667  0.5000  3 Mg 2.61

Properties
Calculated total energy ... -8.783 eV/f.u.
Formation enthalpy at 0 K ... -0.5236 eV per atom
Magnetization ... 0.0 μB per cell



DFT (GGA-PBE) results for a relaxed structure of Tm5Te5H2.

abc: 15.7079 3.9155 12.0297
angles: 90.00 130.63 90.00
Last column: nearest neighbours and their distance in Å.
Space group C2/m (No. 12)
Inequivalent atoms, fractional coordinates:
Tm  0.0000  0.0000  0.0000  4 Te 3.02
Tm  0.0464  0.0000  0.3461  1 H 2.23
Tm  0.2181  0.5000  0.8023  2 H 2.23
Te  0.0000  0.5000  0.5000  6 Tm 2.96-3.09, 4 H 3.08
Te  0.1091  0.5000  0.9348  7 Tm 3.01-3.24, 3 H 3.08-3.23
Te  0.1968  0.5000  0.3168  7 Tm 3.19-3.55, 1 H 3.33
H  0.1341  0.0000  0.7599  3 Tm 2.23

Properties
Calculated total energy ... -57.331 eV/f.u.
Magnetization ... 0.0 μB per cell



DFT (GGA-PBE) results for a relaxed structure of SnTe2As.

abc: 4.1088 4.1088 23.8528
angles: 90.00 90.00 120.00
Last column: nearest neighbours and their distance in Å.
Space group R3m (No. 160, hexagonal axes)
Inequivalent atoms, fractional coordinates:
Sn  0.0000  0.0000  0.0000  6 Te 3.16-3.33
Te  0.0000  0.0000  0.5792  3 As 2.99, 3 Sn 3.16
Te  0.0000  0.0000  0.7644  3 As 2.93
As  0.0000  0.0000  0.1699  6 Te 2.93-2.99

Properties
Formation energy without anion corrections ... 15 meV per atom
Calculated total energy ... -14.875 eV/f.u.
Magnetization ... 0.0 μB per cell



DFT (GGA-PBE) results for a relaxed structure of Rb2TlTe6.

abc: 14.1947 11.7602 4.6004
angles: 90.00 108.80 90.00
Last column: nearest neighbours and their distance in Å.
Space group C2/m (No. 12)
Inequivalent atoms, fractional coordinates:
Rb  0.1670  0.0000  0.1238  8 Te 3.68-3.81
Tl  0.0000  0.5000  0.5000  8 Te 3.63-3.65
Te  0.0000  0.2611  0.0000  4 Te 3.10-3.31
Te  0.1658  0.2540  0.6315  3 Te 3.01-3.31

Properties
Formation energy without anion corrections ... -444 meV per atom
Calculated total energy ... -27.147 eV/f.u.
Magnetization ... 0.0 μB per cell



DFT (GGA-PBE) results for a relaxed structure of NaHg.

abc: 6.9346 6.9346 6.9346
angles: 90.00 90.00 90.00
Last column: nearest neighbours and their distance in Å.
Space group F-43m (No. 216)
Inequivalent atoms, fractional coordinates:
Na  0.0000  0.0000  0.0000  4 Hg 3.00
Hg  0.2500  0.2500  0.7500  4 Na 3.00

Properties
Calculated total energy ... -1.394 eV/f.u.
Formation enthalpy at 0 K ... 0.1135 eV per atom
Magnetization ... 0.0 μB per cell



DFT (GGA-PBE) results for a relaxed structure of Cs2SrLi2I6.

abc: 14.8031 8.8340 9.4246
angles: 90.00 116.55 90.00
Last column: nearest neighbours and their distance in Å.
Space group C2/m (No. 12)
Inequivalent atoms, fractional coordinates:
Cs  0.2089  0.0000  0.1730  5 I 3.85-4.08
Sr  0.0000  0.0000  0.5000  6 I 3.27-3.32
Li  0.0580  0.5000  0.2676  3 I 2.65-2.67
I  0.0513  0.2469  0.7912  1 Li 2.67
I  0.2424  0.0000  0.6024  1 Li 2.65

Properties
Formation energy without anion corrections ... -1442 meV per atom
Calculated total energy ... -32.374 eV/f.u.
Magnetization ... 0.0 μB per cell



DFT (GGA-PBE) results for a relaxed structure of Cu2GeBAs.

abc: 4.7236 4.7236 3.7431
angles: 90.00 90.00 90.00
Last column: nearest neighbours and their distance in Å.
Space group P4/mmm (No. 123)
Inequivalent atoms, fractional coordinates:
Cu  0.0000  0.5000  0.0000  2 Ge 2.36
Ge  0.0000  0.0000  0.0000  2 B 1.87
B  0.0000  0.0000  0.5000  2 Ge 1.87
As  0.5000  0.5000  0.5000  8 Cu 3.01, 4 B 3.34

Properties
Calculated total energy ... -18.920 eV/f.u.
Formation enthalpy at 0 K ... 1.0433 eV per atom
Magnetization ... 0.0 μB per cell



DFT (GGA-PBE) results for a relaxed structure of PrNd3Co2.

abc: 17.1346 3.8087 12.2978
angles: 90.00 125.40 90.00
Last column: nearest neighbours and their distance in Å.
Space group C2/m (No. 12)
Inequivalent atoms, fractional coordinates:
Pr  0.1577  0.0000  0.2512  3 Co 2.81-3.06
Nd  0.0854  0.5000  0.4460  3 Co 2.84-3.03
Nd  0.0856  0.5000  0.9445  3 Co 2.83-3.01
Nd  0.1588  0.0000  0.7525  3 Co 2.80-3.05
Co  0.2346  0.0000  0.0461  2 Co 2.43
Co  0.2348  0.0000  0.5463  2 Co 2.43

Properties
Calculated total energy ... -33.565 eV/f.u.
Formation enthalpy at 0 K ... -0.0451 eV per atom
Magnetization ... 0.0 μB per cell



DFT (GGA-PBE) results for a relaxed structure of Ac2Cd3Cu2.

abc: 10.7710 4.4769 7.4695
angles: 90.00 93.60 90.00
Last column: nearest neighbours and their distance in Å.
Space group C2/m (No. 12)
Inequivalent atoms, fractional coordinates:
Ac  0.1349  0.0000  0.3346  5 Cu 3.16-3.32, 3 Cd 3.46-3.47
Cd  0.0000  0.5000  0.0000  2 Cu 2.82, 4 Cd 3.10
Cd  0.1670  0.0000  0.8575  2 Cu 2.91, 2 Cd 3.10
Cu  0.0703  0.5000  0.6432  1 Cu 2.54, 1 Cd 2.82

Properties
Calculated total energy ... -20.608 eV/f.u.
Formation enthalpy at 0 K ... -0.2076 eV per atom
Magnetization ... 0.0 μB per cell



DFT (GGA-PBE) results for a relaxed structure of Ce2HoFeHg.

abc: 4.8596 4.8596 5.4753
angles: 90.00 90.00 90.00
Last column: nearest neighbours and their distance in Å.
Space group P4/mmm (No. 123)
Inequivalent atoms, fractional coordinates:
Ce  0.0000  0.5000  0.0000  2 Fe 2.43
Ho  0.0000  0.0000  0.5000  2 Fe 2.74
Fe  0.0000  0.0000  0.0000  4 Ce 2.43
Hg  0.5000  0.5000  0.5000  4 Ho 3.44, 8 Ce 3.66

Properties
Calculated total energy ... -26.115 eV/f.u.
Formation enthalpy at 0 K ... -0.1810 eV per atom
Magnetization ... 0.0 μB per cell



DFT (GGA-PBE) results for a relaxed structure of LiCoBAs2.

abc: 4.4023 4.4023 4.4869
angles: 90.00 90.00 90.00
Last column: nearest neighbours and their distance in Å.
Space group P4/mmm (No. 123)
Inequivalent atoms, fractional coordinates:
Li  0.0000  0.0000  0.0000  2 Co 2.24
Co  0.0000  0.0000  0.5000  4 As 2.20, 2 Li 2.24
B  0.5000  0.5000  0.0000  4 Li 3.11, 8 As 3.14
As  0.0000  0.5000  0.5000  2 Co 2.20

Properties
Calculated total energy ... -20.654 eV/f.u.
Formation enthalpy at 0 K ... 0.8685 eV per atom
Magnetization ... 0.0 μB per cell



DFT (GGA-PBE) results for a relaxed structure of K2Nb2As2O11.

abc: 10.1737 10.6702 10.5514
angles: 90.00 97.29 90.00
Last column: nearest neighbours and their distance in Å.
Space group P2_1 (No. 4)
Inequivalent atoms, fractional coordinates:
K  0.0033  0.0000  0.2491  8 O 2.88-3.08
K  0.2373  0.7178  0.4686  6 O 2.85-3.13
K  0.2407  0.7998  0.9255  4 O 2.79-2.99
K  0.4892  0.5803  0.2433  4 O 2.74-3.00
Nb  0.0650  0.1851  0.8951  2 O 1.78-1.94
Nb  0.0692  0.3188  0.3949  2 O 1.79-1.93
Nb  0.3554  0.0916  0.3841  2 O 1.77-1.98
Nb  0.3556  0.4093  0.8863  2 O 1.77-1.97
As  0.1309  0.0787  0.6051  4 O 1.71-1.73
As  0.1333  0.4254  0.1043  4 O 1.72-1.73
As  0.3860  0.1125  0.0603  4 O 1.69-1.75
As  0.3899  0.3839  0.5617  4 O 1.70-1.76
O  0.0387  0.9631  0.5224  1 As 1.72
O  0.0444  0.5436  0.0222  1 As 1.72
O  0.0476  0.2896  0.0590  1 As 1.73
O  0.0500  0.2168  0.5599  1 As 1.73
O  0.0808  0.7400  0.2006  1 Nb 1.78
O  0.0814  0.7621  0.6929  1 Nb 1.79
O  0.1361  0.0608  0.7679  1 As 1.72
O  0.1356  0.4431  0.2666  1 As 1.72
O  0.1897  0.3120  0.8549  2 Nb 1.94-1.97
O  0.1909  0.1917  0.3524  2 Nb 1.93-1.98
O  0.2217  0.0830  0.0265  1 As 1.69
O  0.2260  0.4157  0.5265  1 As 1.70
O  0.2879  0.9429  0.3384  1 Nb 1.77
O  0.2912  0.5575  0.8345  1 Nb 1.77
O  0.2926  0.0736  0.5756  1 As 1.71
O  0.2959  0.4293  0.0766  1 As 1.72
O  0.4239  0.1467  0.2228  1 As 1.75
O  0.4252  0.3488  0.7251  1 As 1.76
O  0.4523  0.2245  0.9720  1 As 1.71
O  0.4570  0.2655  0.4830  1 As 1.70
O  0.4621  0.9710  0.0265  1 As 1.75
O  0.4643  0.5256  0.5272  1 As 1.75

Properties
Formation energy without anion corrections ... -1965 meV per atom
Calculated total energy ... -119.581 eV/f.u.
Magnetization ... 0.0 μB per cell



DFT (GGA-PBE) results for a relaxed structure of KAlTl2.

abc: 4.9377 5.5941 8.6526
angles: 90.00 90.00 90.00
Last column: nearest neighbours and their distance in Å.
Space group Cmmm (No. 65)
Inequivalent atoms, fractional coordinates:
K  0.0000  0.0000  0.0000  8 Tl 3.58-3.82, 4 K 3.73
Al  0.0000  0.0000  0.5000  8 Tl 3.01-3.29
Tl  0.0000  0.5000  0.3003  4 Al 3.01-3.29

Properties
Calculated total energy ... -9.392 eV/f.u.
Formation enthalpy at 0 K ... 0.0451 eV per atom
Magnetization ... 0.0 μB per cell



DFT (GGA-PBE) results for a relaxed structure of CuH2C2O4.

abc: 3.9277 7.9988 7.8552
angles: 90.00 117.05 90.00
Last column: nearest neighbours and their distance in Å.
Space group P2_1/c (No. 14)
Inequivalent atoms, fractional coordinates:
Cu  0.0000  0.0000  0.0000  4 O 1.97
H  0.3106  0.1856  0.7110  1 C 1.10
C  0.4423  0.7305  0.2474  1 H 1.10
O  0.1131  0.7197  0.6262  1 C 1.27
O  0.4897  0.5856  0.3225  1 C 1.28

Properties
Calculated total energy ... -56.249 eV/f.u.
Magnetization ... 2.0 μB per cell



DFT (GGA-PBE) results for a relaxed structure of CaAgAs2.

abc: 4.5141 4.5141 4.0769
angles: 90.00 90.00 90.00
Last column: nearest neighbours and their distance in Å.
Space group P4/mmm (No. 123)
Inequivalent atoms, fractional coordinates:
Ca  0.0000  0.0000  0.0000  8 As 3.04, 4 Ag 3.19
Ag  0.5000  0.5000  0.0000  8 As 3.04, 4 Ca 3.19
As  0.0000  0.5000  0.5000  4 Ca 3.04, 4 Ag 3.04, 4 As 3.19

Properties
Calculated total energy ... -15.661 eV/f.u.
Formation enthalpy at 0 K ... -0.3773 eV per atom
Magnetization ... 0.0 μB per cell